The following is a DFT calculation (GGA-PBE) of a relaxed structure of BeNi3Sb.

Values from the calculation:
The uncorrected formation energy comes out at 0.096 eV per atom. For the total magnetization, the calculation gives 0.00 μB per atom. The offset from the most stable computed form is 0 meV per atom. The volume comes out at 64 Å³/cell.

Unit cell a=3.998 b=3.998 c=3.998 alpha=90.00 beta=90.00 gamma=90.00
Space group Pm-3m (No. 221)
Symmetry-distinct sites (fractional):
Be (0.000, 0.000, 0.000) (multiplicity 1)
Ni (0.000, 0.000, 0.500) (multiplicity 3)
Sb (0.500, 0.500, 0.500) (multiplicity 1)


The following is a DFT calculation (GGA-PBE) of a relaxed structure of Y2CuTc3.

Values from the calculation:
For the total magnetization, the calculation gives 0.00 μB per atom. Its formation energy from the elements is -184 meV/atom. The volume comes out at 219 Å³/cell.

Unit cell a=9.100 b=5.242 c=5.503 alpha=90.00 beta=123.50 gamma=90.00
Space group C2/m (No. 12)
Symmetry-distinct sites (fractional):
Y (0.122, 0.000, 0.367) (multiplicity 4)
Cu (0.000, 0.500, 0.500) (multiplicity 2)
Tc (0.000, 0.500, 0.000) (multiplicity 2)
Tc (0.250, 0.250, 0.000) (multiplicity 4)


The following is a DFT calculation (GGA-PBE) of a relaxed structure of Ca2HoPd9.

Values from the calculation:
For the total magnetization, the calculation gives 0.00 μB per atom. Its formation energy from the elements is -632 meV/atom. The volume comes out at 211 Å³/cell.

Unit cell a=4.130 b=4.130 c=12.343 alpha=90.00 beta=90.00 gamma=90.00
Space group P4/mmm (No. 123)
Symmetry-distinct sites (fractional):
Ca (0.000, 0.000, 0.167) (multiplicity 2)
Ho (0.000, 0.000, 0.500) (multiplicity 1)
Pd (0.000, 0.500, 0.000) (multiplicity 2)
Pd (0.000, 0.500, 0.337) (multiplicity 4)
Pd (0.500, 0.500, 0.167) (multiplicity 2)
Pd (0.500, 0.500, 0.500) (multiplicity 1)


The following is a DFT calculation (GGA-PBE) of a relaxed structure of LiCaTmIn.

Values from the calculation:
For the total magnetization, the calculation gives 0.00 μB per atom. Its formation energy from the elements is -248 meV/atom. The volume comes out at 424 Å³/cell.

Unit cell a=7.513 b=7.513 c=7.513 alpha=90.00 beta=90.00 gamma=90.00
Space group F-43m (No. 216)
Symmetry-distinct sites (fractional):
Li (0.000, 0.000, 0.000) (multiplicity 4)
Ca (0.250, 0.250, 0.250) (multiplicity 4)
Tm (0.250, 0.250, 0.750) (multiplicity 4)
In (0.000, 0.000, 0.500) (multiplicity 4)


The following is a DFT calculation (GGA-PBE) of a relaxed structure of Ag2Pt.

Values from the calculation:
For the total magnetization, the calculation gives 0.00 μB per atom. Its formation energy from the elements is 629 meV/atom. The offset from the most stable computed form is 644 meV per atom. The volume comes out at 261 Å³/cell.

Unit cell a=6.391 b=6.391 c=6.391 alpha=90.00 beta=90.00 gamma=90.00
Space group Pa-3 (No. 205)
Symmetry-distinct sites (fractional):
Ag (0.129, 0.129, 0.129) (multiplicity 8)
Pt (0.000, 0.000, 0.500) (multiplicity 4)


The following is a DFT calculation (GGA-PBE) of a relaxed structure of Sr2NiIr.

Values from the calculation:
For the total magnetization, the calculation gives 0.12 μB per atom. Its formation energy from the elements is 383 meV/atom. The volume comes out at 353 Å³/cell.

Unit cell a=7.066 b=7.066 c=7.066 alpha=90.00 beta=90.00 gamma=90.00
Space group F-43m (No. 216)
Symmetry-distinct sites (fractional):
Sr (0.000, 0.000, 0.000) (multiplicity 4)
Sr (0.250, 0.250, 0.250) (multiplicity 4)
Ni (0.000, 0.000, 0.500) (multiplicity 4)
Ir (0.250, 0.250, 0.750) (multiplicity 4)


The following is a DFT calculation (GGA-PBE) of a relaxed structure of SrYBr2.

Values from the calculation:
The uncorrected formation energy comes out at -0.875 eV per atom. For the total magnetization, the calculation gives 0.28 μB per atom. The offset from the most stable computed form is 340 meV per atom. The volume comes out at 110 Å³/cell.

Unit cell a=5.409 b=5.409 c=3.755 alpha=90.00 beta=90.00 gamma=90.00
Space group P4/mmm (No. 123)
Symmetry-distinct sites (fractional):
Sr (0.000, 0.000, 0.000) (multiplicity 1)
Y (0.500, 0.500, 0.000) (multiplicity 1)
Br (0.000, 0.500, 0.500) (multiplicity 2)


The following is a DFT calculation (GGA-PBE) of a relaxed structure of Bi3BPd.

Values from the calculation:
For the total magnetization, the calculation gives 0.00 μB per atom. Its formation energy from the elements is 1187 meV/atom. The offset from the most stable computed form is 422 meV per atom. The volume comes out at 156 Å³/cell.

Unit cell a=5.380 b=5.380 c=5.380 alpha=90.00 beta=90.00 gamma=90.00
Space group Pm-3m (No. 221)
Symmetry-distinct sites (fractional):
Bi (0.000, 0.000, 0.500) (multiplicity 3)
B (0.500, 0.500, 0.500) (multiplicity 1)
Pd (0.000, 0.000, 0.000) (multiplicity 1)


The following is a DFT calculation (GGA-PBE) of a relaxed structure of SrCo3Se.

Values from the calculation:
The uncorrected formation energy comes out at 0.275 eV per atom. For the total magnetization, the calculation gives 0.61 μB per atom. The offset from the most stable computed form is 0 meV per atom. The volume comes out at 91 Å³/cell.

Unit cell a=4.500 b=4.500 c=4.500 alpha=90.00 beta=90.00 gamma=90.00
Space group Pm-3m (No. 221)
Symmetry-distinct sites (fractional):
Sr (0.000, 0.000, 0.000) (multiplicity 1)
Co (0.000, 0.500, 0.500) (multiplicity 3)
Se (0.500, 0.500, 0.500) (multiplicity 1)


The following is a DFT calculation (GGA-PBE) of a relaxed structure of Rb2CePrTe4.

Values from the calculation:
The uncorrected formation energy comes out at -1.372 eV per atom. For the total magnetization, the calculation gives 0.13 μB per atom. The volume comes out at 326 Å³/cell.

Unit cell a=8.121 b=4.686 c=8.976 alpha=90.00 beta=107.55 gamma=90.00
Space group P2/m (No. 10)
Symmetry-distinct sites (fractional):
Rb (0.000, 0.000, 0.000) (multiplicity 1)
Rb (0.500, 0.500, 0.000) (multiplicity 1)
Ce (0.000, 0.500, 0.500) (multiplicity 1)
Pr (0.500, 0.000, 0.500) (multiplicity 1)
Te (0.234, 0.000, 0.705) (multiplicity 2)
Te (0.264, 0.500, 0.294) (multiplicity 2)


The following is a DFT calculation (GGA-PBE) of a relaxed structure of NdTmBiTe.

Values from the calculation:
The uncorrected formation energy comes out at -1.101 eV per atom. For the total magnetization, the calculation gives 0.00 μB per atom. The volume comes out at 378 Å³/cell.

Unit cell a=4.4642 b=4.4642 c=21.8815 alpha=90.00 beta=90.00 gamma=120.00
Space group R3m (No. 160, hexagonal axes)
Symmetry-distinct sites (fractional):
Nd (0.0000, 0.0000, 0.0000) (multiplicity 3)
Tm (0.0000, 0.0000, 0.5008) (multiplicity 3)
Bi (0.0000, 0.0000, 0.2458) (multiplicity 3)
Te (0.0000, 0.0000, 0.7554) (multiplicity 3)


The following is a DFT calculation (GGA-PBE) of a relaxed structure of HfTiMoPd.

Values from the calculation:
For the total magnetization, the calculation gives 0.00 μB per atom. Its formation energy from the elements is -445 meV/atom. The volume comes out at 68 Å³/cell.

Unit cell a=3.260 b=3.260 c=6.433 alpha=90.00 beta=90.00 gamma=90.00
Space group P4mm (No. 99)
Symmetry-distinct sites (fractional):
Hf (0.000, 0.000, 0.000) (multiplicity 1)
Ti (0.000, 0.000, 0.524) (multiplicity 1)
Mo (0.500, 0.500, 0.744) (multiplicity 1)
Pd (0.500, 0.500, 0.264) (multiplicity 1)